[1]
A geometry-optimized BaTi3Sb structure, computed with GGA-PBEsol.

Geometry as POSCAR:
```
BaTi3Sb
1.0
4.9058 0.0000 0.0000
0.0000 4.9058 0.0000
0.0000 0.0000 4.9058
Ba Ti Sb
1 3 1
Direct
0.0000 0.0000 0.0000
0.0000 0.0000 0.5000
0.0000 0.5000 0.0000
0.5000 0.0000 0.0000
0.5000 0.5000 0.5000
```

## Properties
Spin magnetization = 0.00 Bohr magnetons per cell
Symmetry = Pm-3m, No. 221
Formation energy (no corrections) = 761 kJ/mol of formula units
E_tot = -4.758 eV per atom

[2]
A geometry-optimized BaScMo2 structure, computed with GGA-PBEsol.

Geometry as POSCAR:
```
BaScMo2
1.0
1.6068 0.9277 10.0290
-1.6068 0.9277 10.0290
0.0000 -1.8554 10.0290
Ba Sc Mo
1 1 2
Direct
0.0000 0.0000 0.0000
0.7769 0.7769 0.7769
0.2389 0.2389 0.2389
0.5159 0.5159 0.5159
```

## Properties
Spin magnetization = 0.00 Bohr magnetons per cell
Distance to the lowest polymorph of the same formula = 0.00 eV per formula unit
Symmetry = R3m, No. 160
E_tot = -7.423 eV per atom

[3]
A geometry-optimized BaAs2Ru structure, computed with GGA-PBEsol.

Geometry as POSCAR:
```
BaAs2Ru
1.0
3.4049 0.0000 0.0000
0.0000 3.4049 0.0000
0.0000 0.0000 7.3168
Ba As Ru
1 2 1
Direct
0.0000 0.0000 0.0000
0.0000 0.0000 0.4653
0.5000 0.5000 0.6909
0.5000 0.5000 0.3505
```

## Properties
Spin magnetization = 0.00 Bohr magnetons per cell
Symmetry = P4mm, No. 99
E_tot = -5.681 eV per atom

[4]
A geometry-optimized BaCrH3 structure, computed with GGA-PBEsol.

Geometry as POSCAR:
```
BaCrH3
1.0
3.9819 0.0000 0.0000
0.0000 3.9819 0.0000
0.0000 0.0000 3.9819
Ba Cr H
1 1 3
Direct
0.0000 0.0000 0.0000
0.5000 0.5000 0.5000
0.0000 0.5000 0.5000
0.5000 0.0000 0.5000
0.5000 0.5000 0.0000
```

## Properties
Spin magnetization = 4.14 Bohr magnetons per cell
Symmetry = Pm-3m, No. 221
E_tot = -4.576 eV per atom

[5]
A geometry-optimized MnPO4 structure, computed with GGA-PBEsol.

Geometry as POSCAR:
```
MnPO4
1.0
9.7060 0.0000 0.0000
0.0000 5.9005 0.0000
0.0000 0.0000 4.8011
Mn P O
4 4 16
Direct
0.2165 0.2500 0.0692
0.2835 0.7500 0.5692
0.7165 0.2500 0.4308
0.7835 0.7500 0.9308
0.0984 0.7500 0.0929
0.4016 0.2500 0.5929
0.5984 0.7500 0.4071
0.9016 0.2500 0.9071
0.0573 0.2500 0.8517
0.1213 0.7500 0.7766
0.1702 0.5462 0.2412
0.1702 0.9538 0.2412
0.3298 0.0462 0.7412
0.3298 0.4538 0.7412
0.3787 0.2500 0.2766
0.4427 0.7500 0.3517
0.5573 0.2500 0.6483
0.6213 0.7500 0.7234
0.6702 0.5462 0.2588
0.6702 0.9538 0.2588
0.8298 0.0462 0.7588
0.8298 0.4538 0.7588
0.8787 0.2500 0.2234
0.9427 0.7500 0.1483
```

## Properties
Spin magnetization = 16.00 Bohr magnetons per cell
Symmetry = Pnma, No. 62
Formation energy (no corrections) = -1133 kJ/mol of formula units
E_tot = -8.048 eV per atom

[6]
A geometry-optimized BaZnNi2 structure, computed with GGA-PBEsol.

Geometry as POSCAR:
```
BaZnNi2
1.0
2.0692 1.1947 5.4697
-2.0692 1.1947 5.4697
0.0000 -2.3893 5.4697
Ba Zn Ni
1 1 2
Direct
0.0000 0.0000 0.0000
0.8140 0.8140 0.8140
0.1852 0.1852 0.1852
0.5015 0.5015 0.5015
```

## Properties
Spin magnetization = 0.00 Bohr magnetons per cell
Symmetry = R3m, No. 160
E_tot = -4.091 eV per atom

[7]
A geometry-optimized InRh2Se structure, computed with GGA-PBEsol.

Geometry as POSCAR:
```
InRh2Se
1.0
3.0364 0.0000 0.0000
0.0000 3.8759 0.0000
0.0000 0.0000 5.6618
In Rh Se
1 2 1
Direct
0.0000 0.0000 0.0000
0.5000 0.5000 0.2458
0.5000 0.5000 0.7542
0.5000 0.0000 0.5000
```

## Properties
Spin magnetization = 0.00 Bohr magnetons per cell
Symmetry = Pmmm, No. 47
Formation energy (no corrections) = -47 kJ/mol of formula units
E_tot = -5.899 eV per atom

[8]
A geometry-optimized SrYIO2 structure, computed with GGA-PBEsol.

Geometry as POSCAR:
```
SrYIO2
1.0
4.4581 0.0000 0.0000
0.0000 4.4581 0.0000
0.0000 0.0000 5.7515
Sr Y I O
1 1 1 2
Direct
0.0000 0.0000 0.0000
0.5000 0.5000 0.5000
0.5000 0.5000 0.0000
0.0000 0.5000 0.5000
0.5000 0.0000 0.5000
```

## Properties
Spin magnetization = 0.00 Bohr magnetons per cell
Symmetry = P4/mmm, No. 123
Formation energy (no corrections) = -971 kJ/mol of formula units
E_tot = -6.199 eV per atom

[9]
A geometry-optimized ErTaRu2 structure, computed with GGA-PBEsol.

Geometry as POSCAR:
```
ErTaRu2
1.0
0.0000 3.2116 3.2116
3.2116 0.0000 3.2116
3.2116 3.2116 0.0000
Er Ta Ru
1 1 2
Direct
0.0000 0.0000 0.0000
0.5000 0.5000 0.5000
0.2500 0.2500 0.2500
0.7500 0.7500 0.7500
```

## Properties
Spin magnetization = 0.00 Bohr magnetons per cell
Symmetry = Fm-3m, No. 225
E_tot = -9.854 eV per atom

[10]
A geometry-optimized AlP2RhS structure, computed with GGA-PBEsol.

Geometry as POSCAR:
```
AlP2RhS
1.0
4.4573 0.0000 0.0000
0.0000 4.4573 0.0000
0.0000 0.0000 4.4306
Al P Rh S
1 2 1 1
Direct
0.0000 0.0000 0.0000
0.0000 0.5000 0.0000
0.5000 0.0000 0.0000
0.5000 0.5000 0.5000
0.0000 0.0000 0.5000
```

## Properties
Spin magnetization = 0.00 Bohr magnetons per cell
Symmetry = P4/mmm, No. 123
Formation energy (no corrections) = 398 kJ/mol of formula units
E_tot = -4.815 eV per atom

[11]
A geometry-optimized SrCd2Au structure, computed with GGA-PBEsol.

Geometry as POSCAR:
```
SrCd2Au
1.0
2.4009 1.3862 5.1187
-2.4009 1.3862 5.1187
0.0000 -2.7723 5.1187
Sr Cd Au
1 2 1
Direct
0.0000 0.0000 0.0000
0.5306 0.5306 0.5306
0.7910 0.7910 0.7910
0.2046 0.2046 0.2046
```

## Properties
Spin magnetization = 0.00 Bohr magnetons per cell
Symmetry = R3m, No. 160
E_tot = -2.427 eV per atom

[12]
A geometry-optimized Te3AuF structure, computed with GGA-PBEsol.

Geometry as POSCAR:
```
Te3AuF
1.0
4.8960 0.0000 0.0000
0.0000 4.8960 0.0000
0.0000 0.0000 4.8960
Te Au F
3 1 1
Direct
0.0000 0.0000 0.5000
0.0000 0.5000 0.0000
0.5000 0.0000 0.0000
0.5000 0.5000 0.5000
0.0000 0.0000 0.0000
```

## Properties
Spin magnetization = 0.00 Bohr magnetons per cell
Symmetry = Pm-3m, No. 221
Formation energy (no corrections) = 140 kJ/mol of formula units
E_tot = -2.995 eV per atom

[13]
A geometry-optimized MnInCo2 structure, computed with GGA-PBEsol.

Geometry as POSCAR:
```
MnInCo2
1.0
2.9224 0.0000 0.0000
0.0000 2.9224 0.0000
0.0000 0.0000 5.9485
Mn In Co
1 1 2
Direct
0.0000 0.0000 0.0000
0.0000 0.0000 0.5000
0.5000 0.5000 0.2158
0.5000 0.5000 0.7842
```

## Properties
Spin magnetization = 4.16 Bohr magnetons per cell
Symmetry = P4/mmm, No. 123
E_tot = -6.971 eV per atom

[14]
A geometry-optimized Sm2AlGe6 structure, computed with GGA-PBEsol.

Geometry as POSCAR:
```
Sm2AlGe6
1.0
4.1462 -4.2771 0.0000
4.1462 4.2771 0.0000
-2.1708 0.0000 10.2474
Sm Al Ge
4 2 12
Direct
0.1584 0.6637 0.6624
0.3363 0.8416 0.3376
0.6637 0.1584 0.6624
0.8416 0.3363 0.3376
0.1981 0.1981 0.8014
0.8019 0.8019 0.1986
0.0684 0.4956 0.1174
0.0703 0.0703 0.1170
0.1476 0.1476 0.5584
0.3647 0.3647 0.4106
0.4915 0.4915 0.1174
0.4956 0.0684 0.1174
0.5044 0.9316 0.8826
0.5085 0.5085 0.8826
0.6353 0.6353 0.5894
0.8524 0.8524 0.4416
0.9297 0.9297 0.8830
0.9316 0.5044 0.8826
```

## Properties
Spin magnetization = 0.00 Bohr magnetons per cell
Symmetry = C2/m, No. 12
E_tot = -5.372 eV per atom

[15]
A geometry-optimized HgPb2Au structure, computed with GGA-PBEsol.

Geometry as POSCAR:
```
HgPb2Au
1.0
0.0000 3.6480 3.6480
3.6480 0.0000 3.6480
3.6480 3.6480 0.0000
Hg Pb Au
1 2 1
Direct
0.0000 0.0000 0.0000
0.5000 0.5000 0.5000
0.7500 0.7500 0.7500
0.2500 0.2500 0.2500
```

## Properties
Spin magnetization = 0.00 Bohr magnetons per cell
Distance to the lowest polymorph of the same formula = 0.57 eV per formula unit
Symmetry = F-43m, No. 216
E_tot = -2.991 eV per atom

[16]
A geometry-optimized Be5Cu structure, computed with GGA-PBEsol.

Geometry as POSCAR:
```
Be5Cu
1.0
3.6530 0.0000 0.0000
0.0000 1.1723 5.9847
0.0000 -1.1723 5.9847
Be Cu
5 1
Direct
0.0000 0.0000 0.0000
0.0000 0.3258 0.3258
0.0000 0.6627 0.6627
0.5000 0.1111 0.1111
0.5000 0.7736 0.7736
0.5000 0.4407 0.4407
```

## Properties
Spin magnetization = 0.00 Bohr magnetons per cell
Symmetry = Amm2, No. 38
E_tot = -4.077 eV per atom

[17]
A geometry-optimized Hg2IrSe structure, computed with GGA-PBEsol.

Geometry as POSCAR:
```
Hg2IrSe
1.0
3.1753 0.0000 0.0000
0.0000 5.1035 0.0000
-0.0231 0.0000 4.6199
Hg Ir Se
2 1 1
Direct
0.2463 0.0000 0.2462
0.7537 0.0000 0.7538
0.0000 0.5000 0.0000
0.5000 0.5000 0.5000
```

## Properties
Spin magnetization = 0.00 Bohr magnetons per cell
Symmetry = P2/m, No. 10
Formation energy (no corrections) = 188 kJ/mol of formula units
E_tot = -3.216 eV per atom

[18]
A geometry-optimized LaCo2Ru structure, computed with GGA-PBEsol.

Geometry as POSCAR:
```
LaCo2Ru
1.0
2.0612 1.1900 4.8801
-2.0612 1.1900 4.8801
0.0000 -2.3800 4.8801
La Co Ru
1 2 1
Direct
0.0000 0.0000 0.0000
0.1882 0.1882 0.1882
0.8118 0.8118 0.8118
0.5000 0.5000 0.5000
```

## Properties
Spin magnetization = 2.48 Bohr magnetons per cell
Symmetry = R-3m, No. 166
E_tot = -7.729 eV per atom

[19]
A geometry-optimized Al2AgAu structure, computed with GGA-PBEsol.

Geometry as POSCAR:
```
Al2AgAu
1.0
3.0000 0.0000 0.0000
0.0000 4.4396 0.0000
-0.2499 0.0000 5.0300
Al Ag Au
2 1 1
Direct
0.2055 0.0000 0.2558
0.7945 0.0000 0.7442
0.5000 0.5000 0.5000
0.0000 0.5000 0.0000
```

## Properties
Spin magnetization = 0.00 Bohr magnetons per cell
Symmetry = P2/m, No. 10
E_tot = -3.962 eV per atom

[20]
A geometry-optimized SrSc2Ru structure, computed with GGA-PBEsol.

Geometry as POSCAR:
```
SrSc2Ru
1.0
-1.7299 2.8073 4.9851
1.7299 -2.8073 4.9851
1.7299 2.8073 -4.9851
Sr Sc Ru
1 2 1
Direct
0.0000 0.0000 0.0000
0.3120 0.8120 0.5000
0.6880 0.1880 0.5000
0.5000 0.5000 0.0000
```

## Properties
Spin magnetization = 0.00 Bohr magnetons per cell
Distance to the lowest polymorph of the same formula = 0.00 eV per formula unit
Symmetry = Immm, No. 71
E_tot = -6.291 eV per atom

[21]
A geometry-optimized Ag3BAu structure, computed with GGA-PBEsol.

Geometry as POSCAR:
```
Ag3BAu
1.0
4.2603 0.0000 0.0000
0.0000 4.2603 0.0000
0.0000 0.0000 4.2603
Ag B Au
3 1 1
Direct
0.0000 0.0000 0.5000
0.0000 0.5000 0.0000
0.5000 0.0000 0.0000
0.0000 0.0000 0.0000
0.5000 0.5000 0.5000
```

## Properties
Spin magnetization = 0.00 Bohr magnetons per cell
Symmetry = Pm-3m, No. 221
E_tot = -3.754 eV per atom

[22]
A geometry-optimized V2Ag6As2O13 structure, computed with GGA-PBEsol.

Geometry as POSCAR:
```
V2Ag6As2O13
1.0
9.2939 -2.6753 0.0000
9.2939 2.6753 0.0000
-4.6292 0.0000 12.0386
V Ag As O
4 12 4 26
Direct
0.0498 0.1327 0.2652
0.1327 0.0498 0.7652
0.8673 0.9502 0.2348
0.9502 0.8673 0.7348
0.2666 0.3313 0.0447
0.2761 0.3047 0.3034
0.3047 0.2761 0.8034
0.3313 0.2666 0.5447
0.4780 0.5195 0.3864
0.4805 0.5220 0.1136
0.5195 0.4780 0.8864
0.5220 0.4805 0.6136
0.6687 0.7334 0.4553
0.6953 0.7239 0.1966
0.7239 0.6953 0.6966
0.7334 0.6687 0.9553
0.1171 0.1212 0.5323
0.1212 0.1171 0.0323
0.8788 0.8829 0.9677
0.8829 0.8788 0.4677
0.0234 0.8498 0.3922
0.0552 0.2915 0.8140
0.0814 0.7364 0.5899
0.1172 0.3079 0.6067
0.1167 0.8833 0.2500
0.1502 0.9766 0.1078
0.2029 0.5734 0.9925
0.2290 0.5593 0.7714
0.2636 0.9186 0.9101
0.2915 0.0552 0.3140
0.3079 0.1172 0.1067
0.4266 0.7971 0.5075
0.4407 0.7710 0.7286
0.5593 0.2290 0.2714
0.5734 0.2029 0.4925
0.6921 0.8828 0.8933
0.7085 0.9448 0.6860
0.7364 0.0814 0.0899
0.7710 0.4407 0.2286
0.7971 0.4266 0.0075
0.8498 0.0234 0.8922
0.8833 0.1167 0.7500
0.8828 0.6921 0.3933
0.9186 0.2636 0.4101
0.9448 0.7085 0.1860
0.9766 0.1502 0.6078
```

## Properties
Spin magnetization = 0.00 Bohr magnetons per cell
Symmetry = C2/c, No. 15
Formation energy (no corrections) = -2409 kJ/mol of formula units
E_tot = -6.198 eV per atom

[23]
A geometry-optimized Ti2MoIr structure, computed with GGA-PBEsol.

Geometry as POSCAR:
```
Ti2MoIr
1.0
0.0000 3.0860 3.0860
3.0860 0.0000 3.0860
3.0860 3.0860 0.0000
Ti Mo Ir
2 1 1
Direct
0.2500 0.2500 0.2500
0.7500 0.7500 0.7500
0.0000 0.0000 0.0000
0.5000 0.5000 0.5000
```

## Properties
Spin magnetization = 0.00 Bohr magnetons per cell
Symmetry = Fm-3m, No. 225
E_tot = -10.187 eV per atom

[24]
A geometry-optimized Ca4CoSb structure, computed with GGA-PBEsol.

Geometry as POSCAR:
```
Ca4CoSb
1.0
0.0000 4.4037 4.4037
4.4037 0.0000 4.4037
4.4037 4.4037 0.0000
Ca Co Sb
4 1 1
Direct
0.1250 0.1250 0.1250
0.1250 0.1250 0.6249
0.1250 0.6249 0.1250
0.6249 0.1250 0.1250
0.5000 0.5000 0.5000
0.7500 0.7500 0.7500
```

## Properties
Spin magnetization = 0.45 Bohr magnetons per cell
Symmetry = F-43m, No. 216
Formation energy (no corrections) = 338 kJ/mol of formula units
E_tot = -2.888 eV per atom

[25]
A geometry-optimized NiIr2Ru structure, computed with GGA-PBEsol.

Geometry as POSCAR:
```
NiIr2Ru
1.0
2.6483 -3.7095 0.0000
2.6483 3.7095 0.0000
0.0000 0.0000 2.6697
Ni Ir Ru
1 2 1
Direct
0.0000 0.0000 0.0000
0.0000 0.5000 0.5000
0.5000 0.0000 0.5000
0.5000 0.5000 0.0000
```

## Properties
Spin magnetization = 0.01 Bohr magnetons per cell
Distance to the lowest polymorph of the same formula = 0.34 eV per formula unit
Symmetry = Cmmm, No. 65
E_tot = -8.920 eV per atom